# 1
First-principles (PBE) data for HgIr2Rh after structural relaxation, as listed in Alexandria via LeMat-Bulk.

```
4
Lattice="-1.984 1.984 4.018 1.984 -1.984 4.018 1.984 1.984 -4.018" Properties=species:S:1:pos:R:3 pbc="T T T"
Hg 0.000 0.000 0.000
Ir 1.984 0.000 2.009
Ir 0.000 1.984 2.009
Rh 0.000 0.000 4.018
```

Properties
For the density of states at the Fermi level, the calculation gives 0.76 states/eV/atom. The density is 18.06 g/cm³. The total energy is -5.956 eV per atom. Its space group is I4/mmm (139).

# 2
First-principles (PBE) data for HgIr2Rh after structural relaxation, as listed in Alexandria via LeMat-Bulk.

```
4
Lattice="1.414 0.816 9.184 -1.414 0.816 9.184 0.000 -1.632 9.184" Properties=species:S:1:pos:R:3 pbc="T T T"
Hg 0.000 0.000 0.000
Ir 0.000 0.000 13.807
Ir 0.000 0.000 20.862
Rh 0.000 0.000 6.761
```

Properties
For the density of states at the Fermi level, the calculation gives 0.81 states/eV/atom. The density is 17.97 g/cm³. The total energy is -6.093 eV per atom. Its space group is R3m (160).

# 3
First-principles (PBE) data for HgIrRh2 after structural relaxation, as listed in Alexandria via LeMat-Bulk.

```
4
Lattice="4.639 -1.409 0.000 4.639 1.409 0.000 -0.868 0.000 4.841" Properties=species:S:1:pos:R:3 pbc="T T T"
Hg 0.000 0.000 0.000
Ir 1.619 0.000 3.426
Rh 4.212 0.000 2.436
Rh 6.809 0.000 1.221
```

Properties
For the density of states at the Fermi level, the calculation gives 1.03 states/eV/atom. The density is 15.71 g/cm³. The total energy is -5.732 eV per atom. Its space group is Cm (8).